# Mn3PdPt | the Alexandria database | PBE | relaxed
data_Mn3PdPt
_chemical_formula_sum 'Mn3 Pd1 Pt1'
_symmetry_space_group_name_H-M 'P 1'
_symmetry_Int_Tables_number 1
_cell_length_a 4.823
_cell_length_b 4.823
_cell_length_c 4.823
_cell_angle_alpha 90.00
_cell_angle_beta 90.00
_cell_angle_gamma 90.00
loop_
_symmetry_equiv_pos_as_xyz
'x,y,z'
loop_
_atom_site_label
_atom_site_type_symbol
_atom_site_fract_x
_atom_site_fract_y
_atom_site_fract_z
Mn1 Mn 0.000 0.500 0.000
Mn2 Mn 0.000 0.000 0.500
Mn3 Mn 0.500 0.000 0.000
Pd1 Pd 0.500 0.500 0.500
Pt1 Pt 0.000 0.000 0.000
# Energy of formation from the pure elements   0.783 eV per atom
# E_tot   -6.9652 eV/atom
# E above lowest polymorph   0.000 eV per atom
# Density   6.9 g/cm³
# Fermi-level density of states   3.1 states/eV/cell